No. 1
SrCa3Ti: optimized geometry, PBE.

- Formation energy from the elements: 7.3 eV/f.u.
- Relative energy among the computed polymorphs: 918 meV per atom
- Density of states at the Fermi level: 2.26 states/eV/f.u.
- Electronic total energy: -1.659 eV per atom

Cell and atoms, written as CIF:
```
data_SrCa3Ti
_chemical_formula_sum 'Sr1 Ca3 Ti1'
_cell_length_a 5.7649
_cell_length_b 5.7649
_cell_length_c 5.7649
_cell_angle_alpha 90.00
_cell_angle_beta 90.00
_cell_angle_gamma 90.00
_symmetry_space_group_name_H-M 'P m -3 m'
_symmetry_Int_Tables_number 221
_symmetry_space_group_name_Hall '-P 4 2 3'
loop_
_atom_site_label
_atom_site_type_symbol
_atom_site_fract_x
_atom_site_fract_y
_atom_site_fract_z
Sr1 Sr 0.0000 0.0000 0.0000
Ca1 Ca 0.0000 0.0000 0.5000
Ti1 Ti 0.5000 0.5000 0.5000
```


No. 2
SrCaTi: optimized geometry, PBE.

- Formation energy from the elements: 1.2 eV/f.u.
- Relative energy among the computed polymorphs: 8 meV per atom
- Density of states at the Fermi level: 3.88 states/eV/f.u.
- Electronic total energy: -3.475 eV per atom

Cell and atoms, written as CIF:
```
data_SrCaTi
_chemical_formula_sum 'Sr2 Ca2 Ti2'
_cell_length_a 3.6881
_cell_length_b 6.8391
_cell_length_c 9.1082
_cell_angle_alpha 109.08
_cell_angle_beta 90.00
_cell_angle_gamma 105.58
_symmetry_space_group_name_H-M 'P 1'
_symmetry_Int_Tables_number 1
loop_
_symmetry_equiv_pos_as_xyz
'x,y,z'
loop_
_atom_site_label
_atom_site_type_symbol
_atom_site_fract_x
_atom_site_fract_y
_atom_site_fract_z
Sr1 Sr 0.0000 0.0000 0.0000
Sr2 Sr 0.3570 0.7167 0.5751
Ca1 Ca 0.3050 0.6075 0.1615
Ca2 Ca 0.6618 0.3245 0.7336
Ti1 Ti 0.0220 0.0445 0.4066
Ti2 Ti 0.6422 0.2846 0.3316
```


No. 3
SrCa3Ti: optimized geometry, PBE.

- Formation energy from the elements: 2.7 eV/f.u.
- Relative energy among the computed polymorphs: 0 meV per atom
- Density of states at the Fermi level: 12.70 states/eV/f.u.
- Electronic total energy: -2.577 eV per atom

Cell and atoms, written as CIF:
```
data_SrCa3Ti
_chemical_formula_sum 'Sr1 Ca3 Ti1'
_cell_length_a 6.0246
_cell_length_b 6.0246
_cell_length_c 6.0246
_cell_angle_alpha 90.00
_cell_angle_beta 90.00
_cell_angle_gamma 90.00
_symmetry_space_group_name_H-M 'P m -3 m'
_symmetry_Int_Tables_number 221
_symmetry_space_group_name_Hall '-P 4 2 3'
loop_
_atom_site_label
_atom_site_type_symbol
_atom_site_fract_x
_atom_site_fract_y
_atom_site_fract_z
Sr1 Sr 0.0000 0.0000 0.0000
Ca1 Ca 0.0000 0.5000 0.5000
Ti1 Ti 0.5000 0.5000 0.5000
```


No. 4
Sr8CaTl2: optimized geometry, PBE.

- Formation energy from the elements: -1.3 eV/f.u.
- Relative energy among the computed polymorphs: 25 meV per atom
- Density of states at the Fermi level: 12.35 states/eV/f.u.
- Electronic total energy: -1.958 eV per atom

Cell and atoms, written as CIF:
```
data_Sr8CaTl2
_chemical_formula_sum 'Sr16 Ca2 Tl4'
_cell_length_a 10.6566
_cell_length_b 15.8523
_cell_length_c 6.4809
_cell_angle_alpha 90.00
_cell_angle_beta 104.98
_cell_angle_gamma 90.00
_symmetry_space_group_name_H-M 'C 1 2/m 1'
_symmetry_Int_Tables_number 12
loop_
_symmetry_equiv_pos_as_xyz
'x,y,z'
'-x,-y,-z'
'-x,y,-z'
'x,-y,z'
'x+1/2,y+1/2,z'
'-x+1/2,-y+1/2,-z'
'-x+1/2,y+1/2,-z'
'x+1/2,-y+1/2,z'
loop_
_atom_site_label
_atom_site_type_symbol
_atom_site_fract_x
_atom_site_fract_y
_atom_site_fract_z
Sr1 Sr 0.0000 0.2495 0.0000
Sr2 Sr 0.1130 0.0000 0.7970
Sr3 Sr 0.1966 0.3688 0.5859
Ca1 Ca 0.0000 0.5000 0.0000
Tl1 Tl 0.0000 0.1816 0.5000
```


No. 5
SrCa2Tl: optimized geometry, PBE.

- Formation energy from the elements: -0.8 eV/f.u.
- Relative energy among the computed polymorphs: 41 meV per atom
- Density of states at the Fermi level: 3.90 states/eV/f.u.
- Electronic total energy: -2.224 eV per atom

Cell and atoms, written as CIF:
```
data_SrCa2Tl
_chemical_formula_sum 'Sr1 Ca2 Tl1'
_cell_length_a 3.9627
_cell_length_b 3.9854
_cell_length_c 9.8282
_cell_angle_alpha 90.00
_cell_angle_beta 90.00
_cell_angle_gamma 90.00
_symmetry_space_group_name_H-M 'P m m m'
_symmetry_Int_Tables_number 47
loop_
_symmetry_equiv_pos_as_xyz
'x,y,z'
'-x,-y,-z'
'-x,-y,z'
'x,y,-z'
'x,-y,-z'
'-x,y,z'
'-x,y,-z'
'x,-y,z'
loop_
_atom_site_label
_atom_site_type_symbol
_atom_site_fract_x
_atom_site_fract_y
_atom_site_fract_z
Sr1 Sr 0.0000 0.0000 0.0000
Ca1 Ca 0.5000 0.5000 0.3112
Tl1 Tl 0.0000 0.0000 0.5000
```


No. 6
SrCaTl5: optimized geometry, PBE.

- Formation energy from the elements: -1.0 eV/f.u.
- Density of states at the Fermi level: 4.02 states/eV/f.u.
- Electronic total energy: -2.356 eV per atom

Cell and atoms, written as CIF:
```
data_SrCaTl5
_chemical_formula_sum 'Sr1 Ca1 Tl5'
_cell_length_a 5.8390
_cell_length_b 5.8390
_cell_length_c 6.8328
_cell_angle_alpha 90.00
_cell_angle_beta 90.00
_cell_angle_gamma 90.00
_symmetry_space_group_name_H-M 'P 4/m m m'
_symmetry_Int_Tables_number 123
_symmetry_space_group_name_Hall '-P 4 2'
loop_
_atom_site_label
_atom_site_type_symbol
_atom_site_fract_x
_atom_site_fract_y
_atom_site_fract_z
Sr1 Sr 0.0000 0.0000 0.0000
Ca1 Ca 0.5000 0.5000 0.5000
Tl1 Tl 0.0000 0.5000 0.2632
Tl2 Tl 0.5000 0.5000 0.0000
```


No. 7
Sr3CaTl: optimized geometry, PBE.

- Formation energy from the elements: 0.0 eV/f.u.
- Relative energy among the computed polymorphs: 172 meV per atom
- Density of states at the Fermi level: 8.79 states/eV/f.u.
- Electronic total energy: -1.881 eV per atom

Cell and atoms, written as CIF:
```
data_Sr3CaTl
_chemical_formula_sum 'Sr3 Ca1 Tl1'
_cell_length_a 6.4367
_cell_length_b 6.4367
_cell_length_c 6.4367
_cell_angle_alpha 90.00
_cell_angle_beta 90.00
_cell_angle_gamma 90.00
_symmetry_space_group_name_H-M 'P m -3 m'
_symmetry_Int_Tables_number 221
_symmetry_space_group_name_Hall '-P 4 2 3'
loop_
_atom_site_label
_atom_site_type_symbol
_atom_site_fract_x
_atom_site_fract_y
_atom_site_fract_z
Sr1 Sr 0.0000 0.0000 0.5000
Ca1 Ca 0.5000 0.5000 0.5000
Tl1 Tl 0.0000 0.0000 0.0000
```


No. 8
SrCa2Tl: optimized geometry, PBE.

- Formation energy from the elements: -0.7 eV/f.u.
- Relative energy among the computed polymorphs: 78 meV per atom
- Density of states at the Fermi level: 3.20 states/eV/f.u.
- Electronic total energy: -2.187 eV per atom

Cell and atoms, written as CIF:
```
data_SrCa2Tl
_chemical_formula_sum 'Sr2 Ca4 Tl2'
_cell_length_a 13.7141
_cell_length_b 4.1475
_cell_length_c 5.9342
_cell_angle_alpha 90.00
_cell_angle_beta 115.60
_cell_angle_gamma 90.00
_symmetry_space_group_name_H-M 'C 1 m 1'
_symmetry_Int_Tables_number 8
loop_
_symmetry_equiv_pos_as_xyz
'x,y,z'
'x,-y,z'
'x+1/2,y+1/2,z'
'x+1/2,-y+1/2,z'
loop_
_atom_site_label
_atom_site_type_symbol
_atom_site_fract_x
_atom_site_fract_y
_atom_site_fract_z
Sr1 Sr 0.0000 0.0000 0.0000
Ca1 Ca 0.2092 0.0000 0.7086
Ca2 Ca 0.4191 0.0000 0.4193
Tl1 Tl 0.2185 0.5000 0.2169
```


Q: Which value of formation energy from the elements does entry 7 give?
A: 0.0 eV/f.u.


Q: Which of these has the lowest formation energy from the elements?
A: Sr8CaTl2


Q: Which of these has the lowest formation energy from the elements?
A: Sr8CaTl2